This record from OQMD via LeMat-Bulk describes crystalline LuMgHg2 at its relaxed geometry. The functional is GGA-PBE.

Unit cell a=5.0157 b=5.0157 c=8.7758 alpha=90.00 beta=90.00 gamma=120.00
With the nearest neighbours (Å) after each atom.
Sites, in units of the cell vectors:
Lu: 0.0000 0.0000 0.0000  6 Hg 3.00
Lu: 0.0000 0.0000 0.5000  6 Hg 3.00
Mg: 0.3333 0.6667 0.2500  8 Hg 2.98-3.22
Mg: 0.6667 0.3333 0.7500  8 Hg 2.98-3.22
Hg: 0.3333 0.6667 0.5893  1 Hg 2.82, 1 Mg 2.98, 3 Lu 3.00
Hg: 0.3333 0.6667 0.9107  1 Hg 2.82, 1 Mg 2.98, 3 Lu 3.00
Hg: 0.6667 0.3333 0.0893  1 Hg 2.82, 1 Mg 2.98, 3 Lu 3.00
Hg: 0.6667 0.3333 0.4107  1 Hg 2.82, 1 Mg 2.98, 3 Lu 3.00

Computed properties:
Symmetry: No. 194
Final energy (eV/cell): -15.0
Relative energy among the computed polymorphs (eV/atom): 0.101


This record from OQMD via LeMat-Bulk describes crystalline LuMgHg2 at its relaxed geometry. The functional is GGA-PBE.

Unit cell a=5.1151 b=5.1151 c=8.4950 alpha=90.00 beta=90.00 gamma=120.00
With the nearest neighbours (Å) after each atom.
Sites, in units of the cell vectors:
Lu: 0.0000 0.0000 0.2500  3 Mg 2.95, 6 Hg 3.30
Lu: 0.0000 0.0000 0.7500  3 Mg 2.95, 6 Hg 3.30
Mg: 0.3333 0.6667 0.2500  2 Hg 2.77, 3 Lu 2.95
Mg: 0.6667 0.3333 0.7500  2 Hg 2.77, 3 Lu 2.95
Hg: 0.3333 0.6667 0.5766  1 Mg 2.77, 1 Hg 2.95
Hg: 0.3333 0.6667 0.9234  1 Mg 2.77, 1 Hg 2.95
Hg: 0.6667 0.3333 0.0766  1 Mg 2.77, 1 Hg 2.95
Hg: 0.6667 0.3333 0.4234  1 Mg 2.77, 1 Hg 2.95

Computed properties:
Symmetry: No. 194
Final energy (eV/cell): -12.8
Relative energy among the computed polymorphs (eV/atom): 0.375


This record from OQMD via LeMat-Bulk describes crystalline LuHgNO at its relaxed geometry. The functional is GGA-PBE.

Unit cell a=3.7393 b=6.3054 c=6.0934 alpha=90.00 beta=90.00 gamma=90.00
With the nearest neighbours (Å) after each atom.
Sites, in units of the cell vectors:
Lu: 0.0000 0.1444 0.0000  2 O 2.06-2.09, 2 N 2.22
Lu: 0.0000 0.8556 0.5000  2 O 2.06-2.09, 2 N 2.22
Hg: 0.5000 0.4145 0.5546  2 N 2.11-2.16
Hg: 0.5000 0.5855 0.0546  2 N 2.11-2.16
N: 0.5000 0.2899 0.8759  2 Hg 2.11-2.16, 2 Lu 2.22
N: 0.5000 0.7101 0.3759  2 Hg 2.11-2.16, 2 Lu 2.22
O: 0.0000 0.1460 0.3438  2 Lu 2.06-2.09
O: 0.0000 0.8540 0.8438  2 Lu 2.06-2.09

Computed properties:
Symmetry: No. 26
Final energy (eV/cell): -45.8
Relative energy among the computed polymorphs (eV/atom): 0.000


This record from OQMD via LeMat-Bulk describes crystalline LuHgNO at its relaxed geometry. The functional is GGA-PBE.

Unit cell a=3.8765 b=3.8765 c=7.8038 alpha=90.00 beta=90.00 gamma=90.00
With the nearest neighbours (Å) after each atom.
Sites, in units of the cell vectors:
Lu: 0.2500 0.2500 0.1288  4 O 2.18
Lu: 0.7500 0.7500 0.8712  4 O 2.18
Hg: 0.2500 0.7500 0.5000  4 N 2.51, 4 Hg 2.74
Hg: 0.7500 0.2500 0.5000  4 N 2.51, 4 Hg 2.74
N: 0.2500 0.2500 0.7046  4 Hg 2.51
N: 0.7500 0.7500 0.2954  4 Hg 2.51
O: 0.2500 0.7500 0.0000  4 Lu 2.18
O: 0.7500 0.2500 0.0000  4 Lu 2.18

Computed properties:
Symmetry: No. 129
Final energy (eV/cell): -43.9
Relative energy among the computed polymorphs (eV/atom): 0.233


This record from OQMD via LeMat-Bulk describes crystalline LuHgNO at its relaxed geometry. The functional is GGA-PBE.

Unit cell a=4.9288 b=4.9288 c=4.5447 alpha=90.00 beta=90.00 gamma=90.00
With the nearest neighbours (Å) after each atom.
Sites, in units of the cell vectors:
Lu: 0.2500 0.7500 0.0000  2 O 2.27, 4 N 2.46
Lu: 0.7500 0.2500 0.0000  2 O 2.27, 4 N 2.46
Hg: 0.2500 0.2500 0.4904  2 N 2.27-2.28, 4 O 2.46
Hg: 0.7500 0.7500 0.5096  2 N 2.27-2.28, 4 O 2.46
N: 0.2500 0.2500 0.9919  2 Hg 2.27-2.28, 4 Lu 2.46
N: 0.7500 0.7500 0.0081  2 Hg 2.27-2.28, 4 Lu 2.46
O: 0.2500 0.7500 0.5000  2 Lu 2.27, 4 Hg 2.46
O: 0.7500 0.2500 0.5000  2 Lu 2.27, 4 Hg 2.46

Computed properties:
Symmetry: No. 129
Final energy (eV/cell): -45.0
Relative energy among the computed polymorphs (eV/atom): 0.100


This record from OQMD via LeMat-Bulk describes crystalline LuHgNO at its relaxed geometry. The functional is GGA-PBE.

Unit cell a=3.9305 b=6.0066 c=5.6652 alpha=90.00 beta=90.00 gamma=90.00
With the nearest neighbours (Å) after each atom.
Sites, in units of the cell vectors:
Lu: 0.0000 0.1941 0.0000  2 O 2.13, 2 N 2.19-2.22
Lu: 0.0000 0.8059 0.5000  2 O 2.13, 2 N 2.19-2.22
Hg: 0.5000 0.2787 0.4746  2 N 2.16
Hg: 0.5000 0.7213 0.9746  2 N 2.16
N: 0.0000 0.1549 0.3891  2 Hg 2.16, 2 Lu 2.19-2.22
N: 0.0000 0.8451 0.8891  2 Hg 2.16, 2 Lu 2.19-2.22
O: 0.5000 0.3125 0.9237  2 Lu 2.13
O: 0.5000 0.6875 0.4237  2 Lu 2.13

Computed properties:
Symmetry: No. 26
Final energy (eV/cell): -45.7
Relative energy among the computed polymorphs (eV/atom): 0.013


This record from OQMD via LeMat-Bulk describes crystalline NaLuHgSe3 at its relaxed geometry. The functional is GGA-PBE.

Unit cell a=11.0467 b=4.0950 c=13.8825 alpha=90.00 beta=90.00 gamma=90.00
With the nearest neighbours (Å) after each atom.
Sites, in units of the cell vectors:
Na: 0.2185 0.2500 0.0070  7 Se 3.15-3.41, 2 Hg 3.52
Na: 0.2815 0.7500 0.5070  7 Se 3.15-3.41, 2 Hg 3.52
Na: 0.7185 0.2500 0.4930  7 Se 3.15-3.41, 2 Hg 3.52
Na: 0.7815 0.7500 0.9930  7 Se 3.15-3.41, 2 Hg 3.52
Lu: 0.0125 0.7500 0.7411  6 Se 2.84-3.15
Lu: 0.4875 0.2500 0.2411  6 Se 2.84-3.15
Lu: 0.5125 0.7500 0.7589  6 Se 2.84-3.15
Lu: 0.9875 0.2500 0.2589  6 Se 2.84-3.15
Hg: 0.2380 0.7500 0.2122  4 Se 2.60-2.71
Hg: 0.2620 0.2500 0.7122  4 Se 2.60-2.71
Hg: 0.7380 0.7500 0.2878  4 Se 2.60-2.71
Hg: 0.7620 0.2500 0.7878  4 Se 2.60-2.71
Se: 0.0290 0.7500 0.1200  1 Hg 2.64, 2 Lu 2.85
Se: 0.0680 0.2500 0.6063  1 Hg 2.60, 2 Lu 2.84
Se: 0.2303 0.2500 0.3398  2 Hg 2.71, 1 Lu 2.91
Se: 0.2697 0.7500 0.8398  2 Hg 2.71, 1 Lu 2.91
Se: 0.4320 0.7500 0.1063  1 Hg 2.60, 2 Lu 2.84
Se: 0.4710 0.2500 0.6200  1 Hg 2.64, 2 Lu 2.85
Se: 0.5290 0.7500 0.3800  1 Hg 2.64, 2 Lu 2.85
Se: 0.5680 0.2500 0.8937  1 Hg 2.60, 2 Lu 2.84
Se: 0.7303 0.2500 0.1602  2 Hg 2.71, 1 Lu 2.91
Se: 0.7697 0.7500 0.6602  2 Hg 2.71, 1 Lu 2.91
Se: 0.9320 0.7500 0.3937  1 Hg 2.60, 2 Lu 2.84
Se: 0.9710 0.2500 0.8800  1 Hg 2.64, 2 Lu 2.85

Computed properties:
Symmetry: No. 62
Final energy (eV/cell): -92.2
Relative energy among the computed polymorphs (eV/atom): 0.010


This record from OQMD via LeMat-Bulk describes crystalline NaLuHgSe3 at its relaxed geometry. The functional is GGA-PBE.

Unit cell a=8.1130 b=4.1363 c=9.9506 alpha=90.00 beta=104.26 gamma=90.00
With the nearest neighbours (Å) after each atom.
Sites, in units of the cell vectors:
Na: 0.2049 0.2500 0.2232  4 Se 3.01-3.11
Na: 0.7951 0.7500 0.7768  4 Se 3.01-3.11
Lu: 0.3310 0.7500 0.8568  6 Se 2.79-3.04
Lu: 0.6690 0.2500 0.1432  6 Se 2.79-3.04
Hg: 0.0962 0.2500 0.6047  3 Se 2.62-2.68
Hg: 0.9038 0.7500 0.3953  3 Se 2.62-2.68
Se: 0.0875 0.2500 0.8665  1 Hg 2.62, 2 Lu 2.88
Se: 0.2748 0.7500 0.5432  2 Hg 2.68
Se: 0.4352 0.7500 0.1454  3 Lu 2.79-2.81, 2 Na 3.01
Se: 0.5648 0.2500 0.8546  3 Lu 2.79-2.81, 2 Na 3.01
Se: 0.7252 0.2500 0.4568  2 Hg 2.68
Se: 0.9125 0.7500 0.1335  1 Hg 2.62, 2 Lu 2.88

Computed properties:
Symmetry: No. 11
Final energy (eV/cell): -46.2
Relative energy among the computed polymorphs (eV/atom): 0.000